Record 1
Material: Dy2Y6Tm3Zr
Method: DFT, GGA-PBE
State: relaxed

Properties
energy of formation = 0.053 eV per atom
spin magnetization = 0.000 μB/atom

CIF file:
```
data_Dy2Y6Tm3Zr
_chemical_formula_sum 'Dy4 Y12 Tm6 Zr2'
_cell_length_a 6.083
_cell_length_b 10.518
_cell_length_c 11.632
_cell_angle_alpha 90.00
_cell_angle_beta 99.97
_cell_angle_gamma 90.00
_symmetry_space_group_name_H-M 'C 1 2/m 1'
_symmetry_Int_Tables_number 12
loop_
_symmetry_equiv_pos_as_xyz
'x,y,z'
'-x,-y,-z'
'-x,y,-z'
'x,-y,z'
'x+1/2,y+1/2,z'
'-x+1/2,-y+1/2,-z'
'-x+1/2,y+1/2,-z'
'x+1/2,-y+1/2,z'
loop_
_atom_site_label
_atom_site_type_symbol
_atom_site_fract_x
_atom_site_fract_y
_atom_site_fract_z
Dy1 Dy 0.000 0.167 0.000
Y1 Y 0.245 0.500 0.754
Y2 Y 0.246 0.336 0.246
Tm1 Tm 0.000 0.000 0.500
Tm2 Tm 0.000 0.333 0.500
Zr1 Zr 0.000 0.500 0.000
```



Record 2
Material: Sc2Ge2Te
Method: DFT, GGA-PBE
State: relaxed

Properties
uncorrected formation energy = -0.34 eV per atom
energy relative to the lowest polymorph listed for this composition = 38.3 kJ per mole of atoms
spin magnetization = 0.000 μB/atom

CIF file:
```
data_Sc2Ge2Te
_chemical_formula_sum 'Sc4 Ge4 Te2'
_cell_length_a 4.951
_cell_length_b 4.951
_cell_length_c 9.705
_cell_angle_alpha 90.00
_cell_angle_beta 90.00
_cell_angle_gamma 90.00
_symmetry_space_group_name_H-M 'I 4/m m m'
_symmetry_Int_Tables_number 139
_symmetry_space_group_name_Hall '-I 4 2'
loop_
_atom_site_label
_atom_site_type_symbol
_atom_site_fract_x
_atom_site_fract_y
_atom_site_fract_z
Sc1 Sc 0.000 0.500 0.250
Ge1 Ge 0.000 0.000 0.124
Te1 Te 0.000 0.000 0.500
```



Record 3
Material: TiHN2O
Method: DFT, GGA-PBE
State: relaxed

Properties
E = -5.936 eV per atom
spin magnetization = 0.551 μB/atom

CIF file:
```
data_TiHN2O
_chemical_formula_sum 'Ti1 H1 N2 O1'
_cell_length_a 4.120
_cell_length_b 4.120
_cell_length_c 3.760
_cell_angle_alpha 90.00
_cell_angle_beta 90.00
_cell_angle_gamma 90.00
_symmetry_space_group_name_H-M 'P 4/m m m'
_symmetry_Int_Tables_number 123
_symmetry_space_group_name_Hall '-P 4 2'
loop_
_atom_site_label
_atom_site_type_symbol
_atom_site_fract_x
_atom_site_fract_y
_atom_site_fract_z
Ti1 Ti 0.000 0.000 0.000
H1 H 0.500 0.500 0.500
N1 N 0.000 0.500 0.000
O1 O 0.000 0.000 0.500
```



Record 4
Material: Al2TcCl
Method: DFT, GGA-PBE
State: relaxed

Properties
uncorrected formation energy = 0.43 eV per atom
energy relative to the lowest polymorph listed for this composition = 82.6 kJ per mole of atoms
spin magnetization = 0.000 μB/atom

CIF file:
```
data_Al2TcCl
_chemical_formula_sum 'Al4 Tc2 Cl2'
_cell_length_a 4.143
_cell_length_b 4.143
_cell_length_c 7.436
_cell_angle_alpha 90.00
_cell_angle_beta 90.00
_cell_angle_gamma 90.00
_symmetry_space_group_name_H-M 'I -4 m 2'
_symmetry_Int_Tables_number 119
_symmetry_space_group_name_Hall 'I -4 -2'
loop_
_atom_site_label
_atom_site_type_symbol
_atom_site_fract_x
_atom_site_fract_y
_atom_site_fract_z
Al1 Al 0.000 0.000 0.000
Al2 Al 0.000 0.500 0.250
Tc1 Tc 0.000 0.000 0.500
Cl1 Cl 0.000 0.500 0.750
```



Record 5
Material: LiCrRhPb
Method: DFT, GGA-PBE
State: relaxed

Properties
energy of formation = 0.036 eV per atom
spin magnetization = 0.819 μB/atom

CIF file:
```
data_LiCrRhPb
_chemical_formula_sum 'Li4 Cr4 Rh4 Pb4'
_cell_length_a 6.417
_cell_length_b 6.417
_cell_length_c 6.417
_cell_angle_alpha 90.00
_cell_angle_beta 90.00
_cell_angle_gamma 90.00
_symmetry_space_group_name_H-M 'F -4 3 m'
_symmetry_Int_Tables_number 216
_symmetry_space_group_name_Hall 'F -4 2 3'
loop_
_atom_site_label
_atom_site_type_symbol
_atom_site_fract_x
_atom_site_fract_y
_atom_site_fract_z
Li1 Li 0.000 0.000 0.000
Cr1 Cr 0.250 0.250 0.750
Rh1 Rh 0.000 0.000 0.500
Pb1 Pb 0.250 0.250 0.250
```



Record 6
Material: SrNbCu3
Method: DFT, GGA-PBE
State: relaxed

Properties
energy relative to the lowest polymorph listed for this composition = 0.0 kJ per mole of atoms
energy of formation = 0.658 eV per atom
spin magnetization = 0.000 μB/atom

CIF file:
```
data_SrNbCu3
_chemical_formula_sum 'Sr1 Nb1 Cu3'
_cell_length_a 4.898
_cell_length_b 4.898
_cell_length_c 4.898
_cell_angle_alpha 90.00
_cell_angle_beta 90.00
_cell_angle_gamma 90.00
_symmetry_space_group_name_H-M 'P m -3 m'
_symmetry_Int_Tables_number 221
_symmetry_space_group_name_Hall '-P 4 2 3'
loop_
_atom_site_label
_atom_site_type_symbol
_atom_site_fract_x
_atom_site_fract_y
_atom_site_fract_z
Sr1 Sr 0.000 0.000 0.000
Nb1 Nb 0.500 0.500 0.500
Cu1 Cu 0.000 0.500 0.500
```



Record 7
Material: SrUIn2I8
Method: DFT, GGA-PBE
State: relaxed

Properties
uncorrected formation energy = -0.89 eV per atom
spin magnetization = 0.167 μB/atom

CIF file:
```
data_SrUIn2I8
_chemical_formula_sum 'Sr1 U1 In2 I8'
_cell_length_a 7.630
_cell_length_b 9.568
_cell_length_c 8.083
_cell_angle_alpha 90.00
_cell_angle_beta 91.80
_cell_angle_gamma 90.00
_symmetry_space_group_name_H-M 'P 1 2/m 1'
_symmetry_Int_Tables_number 10
loop_
_symmetry_equiv_pos_as_xyz
'x,y,z'
'-x,-y,-z'
'-x,y,-z'
'x,-y,z'
loop_
_atom_site_label
_atom_site_type_symbol
_atom_site_fract_x
_atom_site_fract_y
_atom_site_fract_z
Sr1 Sr 0.000 0.000 0.000
U1 U 0.000 0.500 0.000
In1 In 0.500 0.246 0.500
I1 I 0.209 0.500 0.317
I2 I 0.235 0.270 0.863
I3 I 0.252 0.000 0.335
```



Record 8
Material: MnSi2Mo
Method: DFT, GGA-PBE
State: relaxed

Properties
uncorrected formation energy = -0.23 eV per atom
spin magnetization = 0.001 μB/atom

CIF file:
```
data_MnSi2Mo
_chemical_formula_sum 'Mn1 Si2 Mo1'
_cell_length_a 2.859
_cell_length_b 2.859
_cell_length_c 6.128
_cell_angle_alpha 90.00
_cell_angle_beta 90.00
_cell_angle_gamma 90.00
_symmetry_space_group_name_H-M 'P 4/m m m'
_symmetry_Int_Tables_number 123
_symmetry_space_group_name_Hall '-P 4 2'
loop_
_atom_site_label
_atom_site_type_symbol
_atom_site_fract_x
_atom_site_fract_y
_atom_site_fract_z
Mn1 Mn 0.000 0.000 0.000
Si1 Si 0.500 0.500 0.212
Mo1 Mo 0.000 0.000 0.500
```